Record 1
VASP calculation (GGA-PBE) on a relaxed structure of CePaAl2O8.

a = 4.9451 Å, b = 4.9451 Å, c = 7.5952 Å
α = 71.00°, β = 71.00°, γ = 60.00°
Last column: nearest neighbours and their distance in Å.
Fractional positions:
O 0.3366 0.3366 0.9903  1 Al 1.73
O 0.5835 0.2080 0.3055  1 Al 1.75
O 0.0970 0.7920 0.6945  1 Al 1.75
O 0.4165 0.0970 0.6945  1 Al 1.75
O 0.2080 0.9030 0.3055  1 Al 1.75
O 0.6634 0.6634 0.0097  1 Al 1.73
O 0.7920 0.4165 0.6945  1 Al 1.75
O 0.9030 0.5835 0.3055  1 Al 1.75
Ce 0.0000 0.0000 0.0000  12 O 2.65-2.86
Al 0.2545 0.2545 0.2366  4 O 1.73-1.75
Al 0.7455 0.7455 0.7634  4 O 1.73-1.75
Pa 0.5000 0.5000 0.5000  6 O 2.20

Output
Uncorrected formation energy in eV/atom: -2.62

---

Record 2
VASP calculation (GGA-PBE) on a relaxed structure of CePm2AlO.

a = 4.8233 Å, b = 4.9112 Å, c = 4.9112 Å
α = 90.00°, β = 90.00°, γ = 90.00°
Last column: nearest neighbours and their distance in Å.
Fractional positions:
Ce 0.5000 0.0000 0.0000  2 O 2.41
Al 0.5000 0.5000 0.5000  8 Pm 3.44, 4 Ce 3.47
O 0.0000 0.0000 0.0000  2 Ce 2.41, 4 Pm 2.46
Pm 0.0000 0.0000 0.5000  2 O 2.46
Pm 0.0000 0.5000 0.0000  2 O 2.46

Output
Uncorrected formation energy in eV/atom: -1.29

---

Record 3
VASP calculation (GGA-PBE) on a relaxed structure of Rb2CeAlO4.

a = 6.1451 Å, b = 6.1451 Å, c = 6.1451 Å
α = 88.49°, β = 120.88°, γ = 120.88°
Last column: nearest neighbours and their distance in Å.
Fractional positions:
O 0.9028 0.5052 0.1702  1 Al 1.80
O 0.6650 0.3976 0.4948  1 Al 1.80
O 0.3350 0.8298 0.7326  1 Al 1.80
O 0.0972 0.2674 0.6024  1 Al 1.80
Rb 0.0000 0.0000 0.0000  4 O 3.05
Rb 0.5000 0.7500 0.2500  4 O 2.92
Al 0.0000 0.5000 0.5000  4 O 1.80
Ce 0.5000 0.2500 0.7500  4 O 2.22

Output
Uncorrected formation energy in eV/atom: -2.45

---

Record 4
VASP calculation (GGA-PBE) on a relaxed structure of RbCeAl2O6.

a = 5.8971 Å, b = 7.4894 Å, c = 7.4894 Å
α = 95.19°, β = 81.93°, γ = 81.93°
Last column: nearest neighbours and their distance in Å.
Fractional positions:
O 0.6276 0.2512 0.6220  1 Al 1.80
O 0.7266 0.7064 0.0074  1 Al 1.77
O 0.8728 0.3611 0.2844  2 Al 1.77-1.81
O 0.1272 0.6389 0.7156  2 Al 1.77-1.81
O 0.3724 0.7488 0.3780  1 Al 1.80
O 0.1276 0.6220 0.2512  1 Al 1.80
O 0.8724 0.3780 0.7488  1 Al 1.80
O 0.2734 0.2936 0.9926  1 Al 1.77
O 0.3728 0.2844 0.3611  2 Al 1.77-1.81
O 0.7734 0.9926 0.2936  1 Al 1.77
O 0.2266 0.0074 0.7064  1 Al 1.77
O 0.6272 0.7156 0.6389  2 Al 1.77-1.81
Al 0.6763 0.2226 0.3778  4 O 1.77-1.81
Al 0.3237 0.7774 0.6222  4 O 1.77-1.81
Al 0.8237 0.6222 0.7774  4 O 1.77-1.81
Al 0.1763 0.3778 0.2226  4 O 1.77-1.81
Rb 0.2500 0.9151 0.0849  6 O 2.75-2.99
Rb 0.7500 0.0849 0.9151  6 O 2.75-2.99
Ce 0.2500 0.2911 0.7089  4 O 2.15-2.20
Ce 0.7500 0.7089 0.2911  4 O 2.15-2.20

Output
Uncorrected formation energy in eV/atom: -2.57

---

Record 5
VASP calculation (GGA-PBE) on a relaxed structure of Rb4Ce3AlO8.

a = 7.0273 Å, b = 7.7201 Å, c = 7.0268 Å
α = 117.07°, β = 120.00°, γ = 90.00°
Last column: nearest neighbours and their distance in Å.
Fractional positions:
Ce 0.5000 0.5000 0.5000  6 O 2.37-2.41
Ce 0.0000 0.5000 0.5000  6 O 2.37-2.41
Ce 0.5000 0.5000 0.0000  6 O 2.37-2.41
O 0.7981 0.3355 0.5962  1 Al 2.09
O 0.2399 0.3351 0.0374  1 Al 2.10
O 0.7601 0.6649 0.9626  1 Al 2.10
O 0.7976 0.3351 0.0374  1 Al 2.10
O 0.7293 0.6877 0.4586  3 Ce 2.37
O 0.2024 0.6649 0.9626  1 Al 2.10
O 0.2707 0.3123 0.5414  3 Ce 2.37
O 0.2019 0.6645 0.4038  1 Al 2.09
Al 0.0000 0.5000 0.0000  6 O 2.09-2.10
Rb 0.5000 0.0000 0.5000  6 O 2.88-2.92
Rb 0.5000 0.0000 0.0000  6 O 3.16, 6 Rb 3.51
Rb 0.0000 0.0000 0.5000  6 O 2.88-2.92
Rb 0.0000 0.0000 0.0000  6 O 2.88-2.92

Output
Uncorrected formation energy in eV/atom: -2.34

---

Record 6
VASP calculation (GGA-PBE) on a relaxed structure of Rb3Ce3AlO8.

a = 6.9475 Å, b = 6.9476 Å, c = 7.7491 Å
α = 116.64°, β = 90.00°, γ = 120.00°
Last column: nearest neighbours and their distance in Å.
Fractional positions:
Ce 0.5000 0.5000 0.5000  6 O 2.34-2.37
Ce 0.0000 0.5000 0.5000  6 O 2.34-2.37
Ce 0.5000 0.0000 0.5000  6 O 2.34-2.37
O 0.2729 0.5458 0.3188  3 Ce 2.34
O 0.7998 0.5996 0.3423  1 Al 2.06
O 0.7271 0.4542 0.6812  3 Ce 2.34
O 0.2002 0.4004 0.6577  1 Al 2.06
O 0.2003 0.9575 0.6578  1 Al 2.06
O 0.2428 0.0425 0.3422  1 Al 2.06
O 0.7997 0.0425 0.3422  1 Al 2.06
O 0.7572 0.9575 0.6578  1 Al 2.06
Rb 0.0000 0.5000 0.0000  6 O 2.91-2.96
Rb 0.5000 0.5000 0.0000  6 O 2.91-2.96
Rb 0.0000 0.0000 0.0000  6 O 2.91-2.96
Al 0.0000 0.0000 0.5000  6 O 2.06

Output
Uncorrected formation energy in eV/atom: -2.59

---

Record 7
VASP calculation (GGA-PBE) on a relaxed structure of Rb3CeAl2O6.

a = 6.1696 Å, b = 6.1696 Å, c = 7.6164 Å
α = 90.00°, β = 90.00°, γ = 120.00°
Last column: nearest neighbours and their distance in Å.
Fractional positions:
O 0.1728 0.3456 0.3090  1 Al 1.72
O 0.3456 0.1728 0.6910  1 Al 1.72
O 0.8272 0.1728 0.6910  1 Al 1.72
O 0.1728 0.8272 0.3090  1 Al 1.72
O 0.8272 0.6544 0.6910  1 Al 1.72
O 0.6544 0.8272 0.3090  1 Al 1.72
Rb 0.0000 0.0000 0.0000  6 O 2.99
Rb 0.6667 0.3333 0.2569  6 O 3.11, 1 Al 3.37
Rb 0.3333 0.6667 0.7431  6 O 3.11, 1 Al 3.37
Ce 0.0000 0.0000 0.5000  6 O 2.35
Al 0.3333 0.6667 0.3007  3 O 1.72
Al 0.6667 0.3333 0.6993  3 O 1.72

Output
Uncorrected formation energy in eV/atom: -2.34

---

Record 8
VASP calculation (GGA-PBE) on a relaxed structure of RbCeAlO4.

a = 5.7912 Å, b = 5.8984 Å, c = 7.7724 Å
α = 90.00°, β = 108.43°, γ = 90.00°
Last column: nearest neighbours and their distance in Å.
Fractional positions:
O 0.0429 0.5228 0.3309  1 Al 1.78
O 0.0429 0.9772 0.3309  1 Al 1.78
O 0.9571 0.0228 0.6691  1 Al 1.78
O 0.4519 0.7500 0.2112  1 Al 1.76
O 0.5284 0.2500 0.4406  1 Al 1.78
O 0.9571 0.4772 0.6691  1 Al 1.78
O 0.4716 0.7500 0.5594  1 Al 1.78
O 0.5481 0.2500 0.7888  1 Al 1.76
Al 0.2493 0.7500 0.3396  4 O 1.76-1.78
Al 0.7507 0.2500 0.6604  4 O 1.76-1.78
Ce 0.7848 0.7500 0.4589  6 O 2.19-2.44
Ce 0.2152 0.2500 0.5411  6 O 2.19-2.44
Rb 0.6850 0.7500 0.9312  2 O 2.76-2.90
Rb 0.3150 0.2500 0.0688  2 O 2.76-2.90

Output
Uncorrected formation energy in eV/atom: -2.77

---

Record 9
VASP calculation (GGA-PBE) on a relaxed structure of Ce2ScAlO6.

a = 5.5427 Å, b = 5.5748 Å, c = 7.8135 Å
α = 90.00°, β = 90.00°, γ = 90.00°
Last column: nearest neighbours and their distance in Å.
Fractional positions:
O 0.5000 0.2261 0.7400  1 Al 1.88, 1 Sc 2.04
O 0.2433 0.5245 0.0000  1 Al 1.86, 1 Sc 2.03
O 0.7433 0.4755 0.5000  1 Al 1.86, 1 Sc 2.03
O 0.5000 0.2261 0.2600  1 Al 1.88, 1 Sc 2.04
O 0.2567 0.4755 0.5000  1 Al 1.86, 1 Sc 2.03
O 0.7567 0.5245 0.0000  1 Al 1.86, 1 Sc 2.03
O 0.0000 0.7739 0.2400  1 Al 1.88, 1 Sc 2.04
O 0.2383 0.0015 0.0000  1 Al 1.90, 1 Sc 2.07
O 0.0000 0.7739 0.7600  1 Al 1.88, 1 Sc 2.04
O 0.7383 0.9985 0.5000  1 Al 1.90, 1 Sc 2.07
O 0.7617 0.0015 0.0000  1 Al 1.90, 1 Sc 2.07
O 0.2617 0.9985 0.5000  1 Al 1.90, 1 Sc 2.07
Ce 0.5000 0.7733 0.2473  9 O 2.53-2.77
Ce 0.0000 0.2267 0.7473  9 O 2.53-2.77
Ce 0.5000 0.7733 0.7527  9 O 2.53-2.77
Ce 0.0000 0.2267 0.2527  9 O 2.53-2.77
Sc 0.0000 0.7341 0.5000  6 O 2.03-2.07
Sc 0.5000 0.2659 0.0000  6 O 2.03-2.07
Al 0.5000 0.2445 0.5000  6 O 1.86-1.90
Al 0.0000 0.7555 0.0000  6 O 1.86-1.90

Output
Uncorrected formation energy in eV/atom: -3.20

---

Record 10
VASP calculation (GGA-PBE) on a relaxed structure of Ce3ScAl2O9.

a = 5.4649 Å, b = 5.4649 Å, c = 6.7389 Å
α = 90.00°, β = 90.00°, γ = 120.00°
Last column: nearest neighbours and their distance in Å.
Fractional positions:
O 0.1725 0.3450 0.3202  1 Al 1.86, 1 Sc 2.03
O 0.0000 0.5000 0.0000  2 Al 1.92
O 0.1725 0.8275 0.3202  1 Al 1.86, 1 Sc 2.03
O 0.5000 0.5000 0.0000  2 Al 1.92
O 0.8275 0.1725 0.6798  1 Al 1.86, 1 Sc 2.03
O 0.5000 0.0000 0.0000  2 Al 1.92
O 0.3450 0.1725 0.6798  1 Al 1.86, 1 Sc 2.03
O 0.6550 0.8275 0.3202  1 Al 1.86, 1 Sc 2.03
O 0.8275 0.6550 0.6798  1 Al 1.86, 1 Sc 2.03
Ce 0.3333 0.6667 0.6777  12 O 2.68-2.85
Ce 0.6667 0.3333 0.3223  12 O 2.68-2.85
Ce 0.0000 0.0000 0.0000  12 O 2.71-2.73
Al 0.6667 0.3333 0.8387  6 O 1.86-1.92
Al 0.3333 0.6667 0.1613  6 O 1.86-1.92
Sc 0.0000 0.0000 0.5000  6 O 2.03

Output
Uncorrected formation energy in eV/atom: -3.18

---

Record 11
VASP calculation (GGA-PBE) on a relaxed structure of CeTaAlO6.

a = 4.9118 Å, b = 5.1202 Å, c = 5.1202 Å
α = 120.00°, β = 90.00°, γ = 90.00°
Last column: nearest neighbours and their distance in Å.
Fractional positions:
O 0.2809 0.3233 0.3021  1 Al 1.93, 1 Ta 2.00
O 0.7191 0.3233 0.0212  1 Al 1.93, 1 Ta 2.00
O 0.7191 0.6979 0.6767  1 Al 1.93, 1 Ta 2.00
O 0.2809 0.9788 0.6767  1 Al 1.93, 1 Ta 2.00
O 0.2809 0.6979 0.0212  1 Al 1.93, 1 Ta 2.00
O 0.7191 0.9788 0.3021  1 Al 1.93, 1 Ta 2.00
Ta 0.5000 0.6667 0.3333  6 O 2.00
Al 0.5000 0.0000 0.0000  6 O 1.93
Ce 0.0000 0.3333 0.6667  6 O 2.30

Output
Uncorrected formation energy in eV/atom: -3.04

---

Record 12
VASP calculation (GGA-PBE) on a relaxed structure of CeAl2TcO8.

a = 4.6239 Å, b = 4.6229 Å, c = 6.3089 Å
α = 90.00°, β = 90.00°, γ = 89.39°
Last column: nearest neighbours and their distance in Å.
Fractional positions:
Tc 0.0000 0.0000 0.0000  6 O 1.93-1.95
O 0.2122 0.7874 0.2143  1 Al 1.88, 1 Tc 1.93
O 0.7035 0.7038 0.0000  1 Tc 1.95, 2 Al 2.06
O 0.6753 0.6757 0.5000  2 Al 1.97, 1 Ce 2.13
O 0.3247 0.3243 0.5000  2 Al 1.97, 1 Ce 2.13
O 0.2965 0.2962 0.0000  1 Tc 1.95, 2 Al 2.06
O 0.7878 0.2126 0.7857  1 Al 1.88, 1 Tc 1.93
O 0.7878 0.2126 0.2143  1 Al 1.88, 1 Tc 1.93
O 0.2122 0.7874 0.7857  1 Al 1.88, 1 Tc 1.93
Al 0.5000 0.5000 0.7523  6 O 1.88-2.06
Al 0.5000 0.5000 0.2477  6 O 1.88-2.06
Ce 0.0000 0.0000 0.5000  6 O 2.13-2.27

Output
Uncorrected formation energy in eV/atom: -2.37

---

Record 13
VASP calculation (GGA-PBE) on a relaxed structure of CeUAlO6.

a = 5.3214 Å, b = 5.3214 Å, c = 10.0061 Å
α = 90.00°, β = 90.00°, γ = 120.00°
Last column: nearest neighbours and their distance in Å.
Fractional positions:
O 0.6320 0.6564 0.6413  1 Al 1.95, 1 U 2.12
O 0.9756 0.3436 0.1413  1 Al 1.95, 1 U 2.12
O 0.6564 0.0244 0.3587  1 Al 1.95, 1 U 2.12
O 0.3680 0.0244 0.1413  1 Al 1.95, 1 U 2.12
O 0.3436 0.9756 0.6413  1 Al 1.95, 1 U 2.12
O 0.3680 0.3436 0.3587  1 Al 1.95, 1 U 2.12
O 0.0244 0.6564 0.8587  1 Al 1.95, 1 U 2.12
O 0.0244 0.3680 0.6413  1 Al 1.95, 1 U 2.12
O 0.3436 0.3680 0.8587  1 Al 1.95, 1 U 2.12
O 0.6320 0.9756 0.8587  1 Al 1.95, 1 U 2.12
O 0.6564 0.6320 0.1413  1 Al 1.95, 1 U 2.12
O 0.9756 0.6320 0.3587  1 Al 1.95, 1 U 2.12
Ce 0.0000 0.0000 0.5000  6 O 2.37
Ce 0.0000 0.0000 0.0000  6 O 2.37
U 0.6667 0.3333 0.7500  6 O 2.12
U 0.3333 0.6667 0.2500  6 O 2.12
Al 0.3333 0.6667 0.7500  6 O 1.95
Al 0.6667 0.3333 0.2500  6 O 1.95

Output
Uncorrected formation energy in eV/atom: -3.16

---

Record 14
VASP calculation (GGA-PBE) on a relaxed structure of CeUAl2O8.

a = 4.7082 Å, b = 4.7100 Å, c = 7.1526 Å
α = 83.60°, β = 83.61°, γ = 82.68°
Last column: nearest neighbours and their distance in Å.
Fractional positions:
O 0.7237 0.7242 0.0684  1 Al 1.93, 1 U 1.94
O 0.2763 0.2758 0.9316  1 Al 1.93, 1 U 1.94
O 0.2081 0.7780 0.7582  1 Al 1.85
O 0.6754 0.6757 0.5031  2 Al 1.83-1.94
O 0.3246 0.3243 0.4969  2 Al 1.83-1.94
O 0.2216 0.7915 0.2419  1 Al 1.85
O 0.7919 0.2220 0.2418  1 Al 1.85
O 0.7784 0.2085 0.7581  1 Al 1.85
Al 0.5446 0.5446 0.3000  5 O 1.83-1.94
Al 0.4554 0.4554 0.7000  5 O 1.83-1.94
Ce 0.0000 0.0000 0.5000  6 O 2.27-2.29
U 0.0000 0.0000 0.0000  2 O 1.94

Output
Uncorrected formation energy in eV/atom: -3.02